(1)
The following is a PBE calculation of an optimized crystal structure of Ni15Sb, from the Open Quantum Materials Database.

abc: 6.8279 2.5840 33.3970
angles: 90.00 90.00 90.00
With the nearest neighbours (Å) after each atom.
Element x y z (fractional)
Ni: 0.1251 0.0000 0.5920  12 Ni 2.46-2.58
Ni: 0.1264 0.0000 0.7411  9 Ni 2.42-2.58, 2 Sb 2.64
Sb: 0.8752 0.5000 0.7872  2 Sb 2.58, 5 Ni 2.64-2.81
Ni: 0.3739 0.5000 0.3342  12 Ni 2.46-2.58
Ni: 0.6251 0.0000 0.3709  12 Ni 2.45-2.58
Ni: 0.3751 0.5000 0.4814  12 Ni 2.45-2.58
Ni: 0.6250 0.0000 0.2976  12 Ni 2.42-2.58
Ni: 0.3752 0.5000 0.4079  12 Ni 2.45-2.58
Ni: 0.1251 0.0000 0.5183  12 Ni 2.46-2.58
Ni: 0.3750 0.5000 0.5551  12 Ni 2.46-2.58
Ni: 0.8749 0.5000 0.7031  11 Ni 2.47-2.58
Ni: 0.1237 0.0000 0.6658  12 Ni 2.46-2.58
Ni: 0.3749 0.5000 0.7752  7 Ni 2.42-2.58
Ni: 0.6249 0.0000 0.5184  12 Ni 2.46-2.58
Ni: 0.8750 0.5000 0.5552  12 Ni 2.46-2.58
Ni: 0.3750 0.5000 0.7024  12 Ni 2.43-2.58
Ni: 0.6250 0.0000 0.2251  7 Ni 2.42-2.58
Ni: 0.8751 0.5000 0.6290  12 Ni 2.46-2.58
Ni: 0.1249 0.0000 0.4447  12 Ni 2.46-2.58
Ni: 0.6263 0.0000 0.6658  12 Ni 2.46-2.58
Sb: 0.1250 0.0000 0.2127  2 Sb 2.58, 5 Ni 2.64-2.82
Ni: 0.1249 0.0000 0.3710  12 Ni 2.46-2.58
Ni: 0.8749 0.5000 0.4815  12 Ni 2.46-2.58
Ni: 0.3757 0.5000 0.2590  9 Ni 2.42-2.58, 2 Sb 2.64
Ni: 0.8748 0.5000 0.4079  12 Ni 2.46-2.58
Ni: 0.6236 0.0000 0.7411  9 Ni 2.42-2.58, 2 Sb 2.64
Ni: 0.6249 0.0000 0.5920  12 Ni 2.46-2.58
Ni: 0.8743 0.5000 0.2590  9 Ni 2.42-2.58, 2 Sb 2.64
Ni: 0.8761 0.5000 0.3342  12 Ni 2.46-2.58
Ni: 0.1251 0.0000 0.2971  11 Ni 2.47-2.58
Ni: 0.3750 0.5000 0.6291  12 Ni 2.45-2.58
Ni: 0.6251 0.0000 0.4448  12 Ni 2.46-2.58

The value obtained for the energy above the lowest structure with this stoichiometry is 96 meV per atom. The theoretical density comes out at 5.65 g cm⁻³. As for the crystal system: monoclinic. The calculated volume is 589.2 Å³ per cell.

(2)
The following is a PBE calculation of an optimized crystal structure of Ni17Sb, from the Open Quantum Materials Database.

abc: 4.9802 4.9802 31.0238
angles: 90.00 90.00 120.00
With the nearest neighbours (Å) after each atom.
Element x y z (fractional)
Ni: 0.8334 0.6668 0.5646  12 Ni 2.47-2.49
Ni: 0.1668 0.3336 0.6294  12 Ni 2.47-2.49
Ni: 0.6670 0.8335 0.4353  12 Ni 2.46-2.49
Ni: 0.5000 0.5000 0.5000  12 Ni 2.47-2.49
Sb: 0.6667 0.3333 0.2260  6 Ni 2.53
Ni: 0.4995 0.9990 0.6947  11 Ni 2.47-2.50
Ni: 0.6667 0.3333 0.4351  12 Ni 2.47-2.49
Ni: 0.3334 0.1667 0.3705  12 Ni 2.47-2.49
Ni: 0.8333 0.6666 0.3705  12 Ni 2.47-2.49
Ni: 0.3333 0.6667 0.5647  12 Ni 2.47-2.49
Ni: 0.5004 0.0008 0.3053  11 Ni 2.47-2.50
Ni: 0.6680 0.8340 0.2407  7 Ni 2.47-2.50, 2 Sb 2.53
Ni: 0.8339 0.6679 0.7595  7 Ni 2.47-2.50, 2 Sb 2.53
Ni: 0.6664 0.8332 0.6294  12 Ni 2.47-2.49
Ni: 0.1660 0.3320 0.2407  7 Ni 2.47-2.50, 2 Sb 2.53
Ni: 0.0000 0.5000 0.5000  12 Ni 2.47-2.49
Sb: 0.3333 0.6667 0.7737  6 Ni 2.53
Ni: 0.0000 0.0000 0.6943  12 Ni 2.47-2.49
Ni: 0.1665 0.8335 0.4353  12 Ni 2.46-2.49
Ni: 0.1660 0.8340 0.2407  7 Ni 2.47-2.50, 2 Sb 2.53
Ni: 0.5000 0.0000 0.5000  12 Ni 2.47-2.49
Ni: 0.6667 0.3333 0.6293  12 Ni 2.47-2.49
Ni: 0.5004 0.4996 0.3053  11 Ni 2.47-2.50
Ni: 0.0010 0.5005 0.6947  11 Ni 2.47-2.50
Ni: 0.8333 0.1667 0.3705  12 Ni 2.47-2.49
Ni: 0.4995 0.5005 0.6947  11 Ni 2.47-2.50
Ni: 0.3333 0.6667 0.3708  12 Ni 2.46-2.49
Ni: 0.9992 0.4996 0.3053  11 Ni 2.47-2.50
Ni: 0.1668 0.8332 0.6294  12 Ni 2.47-2.49
Ni: 0.8339 0.1661 0.7595  7 Ni 2.47-2.50, 2 Sb 2.53
Ni: 0.0000 0.0000 0.3057  12 Ni 2.47-2.49
Ni: 0.0000 0.0000 0.5000  12 Ni 2.47-2.49
Ni: 0.3332 0.1666 0.5646  12 Ni 2.47-2.49
Ni: 0.3321 0.1661 0.7595  7 Ni 2.47-2.50, 2 Sb 2.53
Ni: 0.8334 0.1666 0.5646  12 Ni 2.47-2.49
Ni: 0.1665 0.3330 0.4353  12 Ni 2.46-2.49

The value obtained for the energy above the lowest structure with this stoichiometry is 0 meV per atom. The theoretical density comes out at 5.58 g cm⁻³. As for the crystal system: trigonal. The calculated volume is 666.4 Å³ per cell.

(3)
The following is a PBE calculation of an optimized crystal structure of Ni15Sb, from the Open Quantum Materials Database.

abc: 4.9516 3.5078 33.5010
angles: 90.00 90.01 90.00
With the nearest neighbours (Å) after each atom.
Element x y z (fractional)
Ni: 0.8752 0.5000 0.6661  12 Ni 2.45-2.48
Ni: 0.6249 0.0000 0.5555  12 Ni 2.48
Ni: 0.8749 0.5000 0.5185  12 Ni 2.47-2.48
Ni: 0.3846 0.5000 0.7397  9 Ni 2.38-2.57, 2 Sb 2.60
Ni: 0.3750 0.5000 0.2235  5 Ni 2.45-2.48, 2 Sb 2.48
Ni: 0.6250 0.0000 0.7765  5 Ni 2.45-2.48, 2 Sb 2.48
Sb: 0.1250 0.0000 0.7824  7 Ni 2.48-2.71
Ni: 0.8750 0.5000 0.2986  11 Ni 2.42-2.52
Ni: 0.3751 0.5000 0.5185  12 Ni 2.47-2.48
Ni: 0.1251 0.0000 0.5554  12 Ni 2.47-2.48
Ni: 0.6250 0.0000 0.6294  12 Ni 2.45-2.48
Ni: 0.8750 0.5000 0.3709  12 Ni 2.42-2.48
Ni: 0.6250 0.0000 0.7027  12 Ni 2.45-2.48
Ni: 0.1250 0.0000 0.7014  11 Ni 2.42-2.52
Ni: 0.6251 0.0000 0.4076  12 Ni 2.47-2.48
Ni: 0.1249 0.0000 0.4076  12 Ni 2.47-2.48
Ni: 0.6154 0.0000 0.2603  9 Ni 2.38-2.57, 2 Sb 2.60
Ni: 0.3751 0.5000 0.4445  12 Ni 2.48
Ni: 0.3750 0.5000 0.3706  12 Ni 2.45-2.48
Ni: 0.1251 0.0000 0.4816  12 Ni 2.47-2.48
Ni: 0.1347 0.0000 0.2603  9 Ni 2.38-2.57, 2 Sb 2.60
Sb: 0.8750 0.5000 0.2176  7 Ni 2.48-2.71
Ni: 0.8654 0.5000 0.7397  9 Ni 2.38-2.57, 2 Sb 2.60
Ni: 0.6252 0.0000 0.3339  12 Ni 2.45-2.48
Ni: 0.8751 0.5000 0.5924  12 Ni 2.47-2.48
Ni: 0.1250 0.0000 0.6291  12 Ni 2.42-2.48
Ni: 0.3750 0.5000 0.2973  12 Ni 2.45-2.48
Ni: 0.3748 0.5000 0.6661  12 Ni 2.45-2.48
Ni: 0.3749 0.5000 0.5924  12 Ni 2.47-2.48
Ni: 0.1248 0.0000 0.3339  12 Ni 2.45-2.48
Ni: 0.8749 0.5000 0.4446  12 Ni 2.47-2.48
Ni: 0.6249 0.0000 0.4815  12 Ni 2.47-2.48

The value obtained for the energy above the lowest structure with this stoichiometry is 2 meV per atom. The theoretical density comes out at 5.72 g cm⁻³. As for the crystal system: monoclinic. The calculated volume is 581.9 Å³ per cell.

(4)
The following is a PBE calculation of an optimized crystal structure of Ni7Sb, from the Open Quantum Materials Database.

abc: 2.7485 2.7485 34.0968
angles: 90.00 90.00 90.00
With the nearest neighbours (Å) after each atom.
Element x y z (fractional)
Ni: 0.0000 0.5000 0.7758  8 Ni 2.48-2.75, 4 Sb 2.68
Ni: 0.5000 0.0000 0.3109  8 Ni 2.41
Ni: 0.0000 0.5000 0.2692  8 Ni 2.41-2.48
Sb: 0.0000 0.5000 0.1700  4 Ni 2.68, 4 Sb 2.75
Ni: 0.5000 0.0000 0.6472  8 Ni 2.41-2.42
Ni: 0.5000 0.0000 0.7308  8 Ni 2.41-2.48
Ni: 0.0000 0.5000 0.6891  8 Ni 2.41
Ni: 0.0000 0.5000 0.4369  8 Ni 2.41-2.42
Sb: 0.5000 0.0000 0.8300  4 Ni 2.68, 4 Sb 2.75
Ni: 0.0000 0.5000 0.5210  8 Ni 2.41-2.42
Ni: 0.0000 0.5000 0.6051  8 Ni 2.41-2.42
Ni: 0.5000 0.0000 0.2242  8 Ni 2.48-2.75, 4 Sb 2.68
Ni: 0.5000 0.0000 0.4790  8 Ni 2.41-2.42
Ni: 0.5000 0.0000 0.5631  8 Ni 2.41-2.42
Ni: 0.0000 0.5000 0.3528  8 Ni 2.41-2.42
Ni: 0.5000 0.0000 0.3949  8 Ni 2.41-2.42

As for the final energy: -83.8 eV per cell. The theoretical density comes out at 6.87 g cm⁻³. As for the crystal system: tetragonal. The calculated volume is 257.6 Å³ per cell.

(5)
The following is a PBE calculation of an optimized crystal structure of NiSb2, from the Open Quantum Materials Database.

abc: 5.9770 5.9770 5.9770
angles: 60.00 60.00 60.00
With the nearest neighbours (Å) after each atom.
Element x y z (fractional)
Ni: 0.2500 0.2500 0.2500  12 Sb 3.50, 4 Ni 3.66
Sb: 0.6250 0.6250 0.1250  6 Sb 2.99
Sb: 0.6250 0.1250 0.6250  6 Sb 2.99
Sb: 0.1250 0.6250 0.6250  6 Sb 2.99
Ni: 0.0000 0.0000 0.0000  12 Sb 3.50, 4 Ni 3.66
Sb: 0.6250 0.6250 0.6250  6 Sb 2.99

As for the final energy: -21.6 eV per cell. The theoretical density comes out at 6.65 g cm⁻³. As for the crystal system: cubic. The calculated volume is 151.0 Å³ per cell.

(6)
The following is a PBE calculation of an optimized crystal structure of NiSb2, from the Open Quantum Materials Database.

abc: 5.4190 3.9416 11.9394
angles: 90.00 90.00 90.00
With the nearest neighbours (Å) after each atom.
Element x y z (fractional)
Sb: 0.3662 0.2500 0.4106  4 Ni 2.65-2.93
Sb: 0.1338 0.7500 0.9106  4 Ni 2.65-2.93
Sb: 0.3873 0.7500 0.1694  3 Ni 2.64-2.73
Ni: 0.8443 0.2500 0.4761  7 Sb 2.64-2.93, 2 Ni 2.66
Sb: 0.8662 0.2500 0.0894  4 Ni 2.65-2.93
Ni: 0.6557 0.7500 0.9761  7 Sb 2.64-2.93, 2 Ni 2.66
Sb: 0.6338 0.7500 0.5894  4 Ni 2.65-2.93
Sb: 0.1127 0.2500 0.6694  3 Ni 2.64-2.73
Sb: 0.8873 0.7500 0.3306  3 Ni 2.64-2.73
Sb: 0.6127 0.2500 0.8306  3 Ni 2.64-2.73
Ni: 0.1557 0.7500 0.5239  7 Sb 2.64-2.93, 2 Ni 2.66
Ni: 0.3443 0.2500 0.0239  7 Sb 2.64-2.93, 2 Ni 2.66

As for the final energy: -56.5 eV per cell. The theoretical density comes out at 7.87 g cm⁻³. As for the crystal system: orthorhombic. The calculated volume is 255.0 Å³ per cell.